First-principles (PBE) data for Na4CdO3 after structural relaxation, as listed in the Open Quantum Materials Database.

Computed properties:
- E: -60.4 eV for the cell shown
- Space group: Cc (9)
- Offset from the most stable computed form: 47 meV/atom

Cell lengths 8.301, 8.301, 5.620 Å; angles 91.70, 91.70, 140.60 degrees
Positions (direct):
Na 0.002 0.998 0.500
Na 0.125 0.756 0.473
Na 0.174 0.821 0.976
Na 0.476 0.600 0.578
Na 0.600 0.476 0.078
Na 0.756 0.125 0.973
Na 0.821 0.174 0.476
Na 0.998 0.002 0.000
Cd 0.294 0.570 0.072
Cd 0.570 0.294 0.572
O 0.115 0.291 0.768
O 0.291 0.115 0.268
O 0.476 0.989 0.703
O 0.671 0.823 0.229
O 0.823 0.671 0.729
O 0.989 0.476 0.203